First-principles (PBE with a Hubbard U) data for crystalline K3VS2O10 at its relaxed geometry, as listed in the Alexandria database.

* ρ: 2.37 g/cm³
* E_tot: -6.09 eV/atom
* space group: No. 4

abc: 7.378 7.522 10.199
angles: 76.21 90.00 90.00
Fractional positions:
K  0.613  0.581  0.593
K  0.113  0.419  0.407
K  0.345  0.986  0.732
K  0.845  0.014  0.268
K  0.914  0.711  0.949
K  0.414  0.289  0.051
V  0.348  0.756  0.147
V  0.848  0.244  0.853
S  0.313  0.952  0.345
S  0.813  0.048  0.655
S  0.650  0.539  0.257
S  0.150  0.461  0.743
O  0.597  0.677  0.121
O  0.097  0.323  0.879
O  0.481  0.532  0.339
O  0.981  0.468  0.661
O  0.481  0.948  0.261
O  0.981  0.052  0.739
O  0.191  0.814  0.292
O  0.691  0.186  0.708
O  0.347  0.884  0.489
O  0.847  0.116  0.511
O  0.820  0.075  0.990
O  0.320  0.925  0.010
O  0.802  0.618  0.317
O  0.302  0.382  0.683
O  0.696  0.365  0.224
O  0.196  0.635  0.776
O  0.223  0.131  0.309
O  0.723  0.869  0.691
O  0.217  0.585  0.124
O  0.717  0.415  0.876